Computed, not measured: an optimized crystal structure of Ba5SmBi4 at the PBE level of DFT.

Results
N(E_F), states/eV/cell: 4.06
Formation energy, meV/atom: -750
Space-group type: Immm

abc: 11.5589 11.5589 11.5589
angles: 154.54 132.77 54.42
Sites, in units of the cell vectors:
Ba  0.0000  0.0000  0.0000
Ba  0.0832  0.3339  0.7493
Ba  0.4154  0.6661  0.7493
Ba  0.5846  0.3339  0.2507
Ba  0.9168  0.6661  0.2507
Sm  0.5000  0.0000  0.5000
Bi  0.2695  0.5000  0.7695
Bi  0.3141  0.8141  0.5000
Bi  0.6859  0.1859  0.5000
Bi  0.7305  0.5000  0.2305


Computed, not measured: an optimized crystal structure of Rb2MgTaRe at the PBE level of DFT.

Results
N(E_F), states/eV/cell: 16.12
Formation energy, meV/atom: 2641
Space-group type: P4/mmm

abc: 6.2070 6.2070 5.1190
angles: 90.00 90.00 90.00
Sites, in units of the cell vectors:
Rb  0.0000  0.5000  0.0000
Rb  0.5000  0.0000  0.0000
Mg  0.0000  0.0000  0.0000
Ta  0.5000  0.5000  0.5000
Re  0.0000  0.0000  0.5000


Computed, not measured: an optimized crystal structure of La5Si2Sn2 at the PBE level of DFT.

Results
N(E_F), states/eV/cell: 15.71
Raw formation energy, eV/atom: -0.7120
Space-group type: Cmce

abc: 9.0308 9.0308 8.2734
angles: 90.00 90.00 54.36
Sites, in units of the cell vectors:
La  0.0000  0.0000  0.0000
La  0.0509  0.6870  0.6790
La  0.1870  0.5509  0.1790
La  0.3130  0.9491  0.6790
La  0.4491  0.8130  0.1790
La  0.5000  0.5000  0.5000
La  0.5509  0.1870  0.8210
La  0.6870  0.0509  0.3210
La  0.8130  0.4491  0.8210
La  0.9491  0.3130  0.3210
Si  0.1082  0.8918  0.3904
Si  0.3918  0.6082  0.8904
Si  0.6082  0.3918  0.1096
Si  0.8918  0.1082  0.6096
Sn  0.2125  0.2125  0.0000
Sn  0.2875  0.2875  0.5000
Sn  0.7125  0.7125  0.5000
Sn  0.7875  0.7875  0.0000


Computed, not measured: an optimized crystal structure of BeZn at the PBE level of DFT.

Results
N(E_F), states/eV/cell: 0.88
Formation energy, meV/atom: 493
Space-group type: P6_3/mmc

abc: 3.3444 3.3444 5.3986
angles: 90.00 90.00 120.00
Sites, in units of the cell vectors:
Be  0.3333  0.6667  0.2500
Be  0.6667  0.3333  0.7500
Zn  0.0000  0.0000  0.0000
Zn  0.0000  0.0000  0.5000


Computed, not measured: an optimized crystal structure of TlAgS at the PBE level of DFT.

Results
Raw formation energy, eV/atom: -0.0025
Space-group type: F-43m

abc: 4.7256 4.7256 4.7256
angles: 60.00 60.00 60.00
Sites, in units of the cell vectors:
Tl  0.0000  0.0000  0.0000
Ag  0.7500  0.7500  0.7500
S  0.5000  0.5000  0.5000


Computed, not measured: an optimized crystal structure of AcPuTeCl at the PBE level of DFT.

Results
N(E_F), states/eV/cell: 11.41
Raw formation energy, eV/atom: -1.0876
Space-group type: F-43m

abc: 5.4681 5.4681 5.4681
angles: 60.00 60.00 60.00
Sites, in units of the cell vectors:
Ac  0.0000  0.0000  0.0000
Pu  0.5000  0.5000  0.5000
Te  0.2500  0.2500  0.2500
Cl  0.7500  0.7500  0.7500